{
  "formula": "PrTmZnSn",
  "functional": "PBE-GGA",
  "state": "relaxed",
  "cell": [[5.257, 0.000, 0.000], [2.629, 4.553, 0.000], [2.629, 1.518, 4.293]],
  "species": ["Sn", "Pr", "Zn", "Tm"],
  "fractional_positions": [[0.250, 0.250, 0.250], [0.500, 0.500, 0.500], [0.750, 0.750, 0.750], [0.000, 0.000, 0.000]],
  "sg": "F-43m (216)"
}


{
  "formula": "Cs2BiBS4",
  "functional": "PBE-GGA",
  "state": "relaxed",
  "cell": [[6.337, 0.000, 0.000], [3.168, 7.105, 0.000], [3.168, 0.000, 12.635]],
  "species": ["S", "S", "S", "S", "S", "S", "S", "S", "B", "B", "Cs", "Cs", "Cs", "Cs", "Bi", "Bi"],
  "fractional_positions": [[0.455, 0.335, 0.592], [0.368, 0.835, 0.092], [0.210, 0.335, 0.408], [0.540, 0.165, 0.092], [0.953, 0.665, 0.592], [0.295, 0.165, 0.908], [0.382, 0.665, 0.408], [0.797, 0.835, 0.908], [0.500, 0.000, 0.000], [0.250, 0.500, 0.500], [0.178, 0.000, 0.644], [0.572, 0.500, 0.856], [0.928, 0.500, 0.144], [0.822, 0.000, 0.356], [0.000, 0.000, 0.000], [0.750, 0.500, 0.500]],
  "sg": "Fddd (70)",
  "raw_formation_energy_kj_per_mol_atoms": -63
}


{
  "formula": "SiRuCl2",
  "functional": "PBE-GGA",
  "state": "relaxed",
  "cell": [[7.810, 0.045, -0.009], [6.206, 4.742, 0.009], [-6.841, -2.881, 2.428]],
  "species": ["Cl", "Cl", "Si", "Ru"],
  "fractional_positions": [[0.890, 0.890, 0.000], [0.610, 0.610, 0.000], [0.250, 0.750, 0.500], [0.750, 0.250, 0.500]],
  "sg": "Immm (71)",
  "relative_energy_ev_per_atom": 0.288,
  "raw_formation_energy_kj_per_mol_atoms": -1
}


| no. | size of the total moment (μB per formula unit) | E (eV per atom) |
| --- | --- | --- |
| 1 | 0.00 | -4.113 |
| 2 | 0.00 | -4.250 |
| 3 | 0.78 | -4.609 |